[1]
# PaICl3

An optimized crystal structure of PaICl3 (PBE-GGA, Alexandria via LeMat-Bulk).

Output
M_tot: 0.186 μB/atom
raw formation energy: -1235.3 meV per atom
relative energy among the computed polymorphs: 367.0 meV/atom
crystal system: cubic

POSCAR file:
```
PaICl3
1.0
5.4197 0.0000 0.0000
0.0000 5.4197 0.0000
0.0000 0.0000 5.4197
Pa I Cl
1 1 3
Direct
0.0000 0.0000 0.0000 Pa
0.5000 0.5000 0.5000 I
0.0000 0.0000 0.5000 Cl
0.0000 0.5000 0.0000 Cl
0.5000 0.0000 0.0000 Cl
```

---

[2]
# Er4TeH

An optimized crystal structure of Er4TeH (PBE-GGA, Alexandria via LeMat-Bulk).

Output
M_tot: 0.000 μB/atom
E_tot: -4.56 eV/atom
crystal system: orthorhombic

POSCAR file:
```
Er4TeH
1.0
7.5340 0.0000 0.0000
0.0000 7.3180 0.0000
0.0000 0.0000 5.9673
Er Te H
8 2 2
Direct
0.0000 0.1360 0.0000 Er
0.0000 0.8531 0.5264 Er
0.2436 0.7519 0.0277 Er
0.2564 0.2481 0.5277 Er
0.5000 0.1469 0.0264 Er
0.5000 0.8640 0.5000 Er
0.7436 0.2481 0.5277 Er
0.7564 0.7519 0.0277 Er
0.0000 0.4888 0.2687 Te
0.5000 0.5112 0.7687 Te
0.0000 0.1408 0.6267 H
0.5000 0.8592 0.1267 H
```

---

[3]
# PmPr6Dy3

An optimized crystal structure of PmPr6Dy3 (PBE-GGA, Alexandria via LeMat-Bulk).

Output
M_tot: 0.000 μB/atom
formation energy from the elements: 0.123 eV/atom
relative energy among the computed polymorphs: 0.0 meV/atom
crystal system: orthorhombic

POSCAR file:
```
PmPr6Dy3
1.0
4.9542 -10.7950 0.0000
4.9542 10.7950 0.0000
0.0000 0.0000 6.5317
Pm Pr Dy
2 12 6
Direct
0.1551 0.8449 0.5000 Pm
0.8449 0.1551 0.0000 Pm
0.0144 0.9856 0.2817 Pr
0.1076 0.5444 0.8116 Pr
0.2613 0.3809 0.0618 Pr
0.2994 0.7006 0.2911 Pr
0.3809 0.2613 0.5618 Pr
0.4556 0.8924 0.8116 Pr
0.5444 0.1076 0.3116 Pr
0.6191 0.7387 0.0618 Pr
0.7006 0.2994 0.7911 Pr
0.7387 0.6191 0.5618 Pr
0.8924 0.4556 0.3116 Pr
0.9856 0.0144 0.7817 Pr
0.0409 0.2943 0.4751 Dy
0.2943 0.0409 0.9751 Dy
0.4194 0.5806 0.5806 Dy
0.5806 0.4194 0.0806 Dy
0.7057 0.9591 0.4751 Dy
0.9591 0.7057 0.9751 Dy
```

---

[4]
# CsMg3Re

An optimized crystal structure of CsMg3Re (PBE-GGA, Alexandria via LeMat-Bulk).

Output
M_tot: 0.875 μB/atom
formation energy from the elements: 2.383 eV/atom
relative energy among the computed polymorphs: 1550.2 meV/atom
crystal system: cubic

POSCAR file:
```
CsMg3Re
1.0
6.5783 0.0000 0.0000
0.0000 6.5783 0.0000
0.0000 0.0000 6.5783
Cs Mg Re
1 3 1
Direct
0.0000 0.0000 0.0000 Cs
0.0000 0.0000 0.5000 Mg
0.0000 0.5000 0.0000 Mg
0.5000 0.0000 0.0000 Mg
0.5000 0.5000 0.5000 Re
```

---

[5]
# CaVIr

An optimized crystal structure of CaVIr (PBE-GGA, Alexandria via LeMat-Bulk).

Output
M_tot: 0.000 μB/atom
formation energy from the elements: -0.189 eV/atom
relative energy among the computed polymorphs: 38.2 meV/atom
crystal system: monoclinic

POSCAR file:
```
CaVIr
1.0
5.9257 0.0000 0.0000
0.0000 5.6180 0.0000
-2.8125 0.0000 7.2477
Ca V Ir
4 4 4
Direct
0.1830 0.1149 0.3775 Ca
0.1830 0.3851 0.8775 Ca
0.8170 0.6149 0.1225 Ca
0.8170 0.8851 0.6225 Ca
0.4183 0.6137 0.3034 V
0.4183 0.8863 0.8034 V
0.5817 0.1137 0.1966 V
0.5817 0.3863 0.6966 V
0.2262 0.6140 0.5354 Ir
0.2262 0.8860 0.0354 Ir
0.7738 0.1140 0.9646 Ir
0.7738 0.3860 0.4646 Ir
```

---

[6]
# Nd6BiAs5

An optimized crystal structure of Nd6BiAs5 (PBE-GGA, Alexandria via LeMat-Bulk).

Output
M_tot: 0.000 μB/atom
formation energy from the elements: -1.397 eV/atom
crystal system: monoclinic

POSCAR file:
```
Nd6BiAs5
1.0
3.7530 -6.4933 0.0000
3.7530 6.4933 0.0000
-2.5042 0.0000 7.0630
Nd Bi As
6 1 5
Direct
0.0678 0.4142 0.7433 Nd
0.2392 0.2392 0.2561 Nd
0.4142 0.0678 0.7433 Nd
0.5858 0.9322 0.2567 Nd
0.7608 0.7608 0.7439 Nd
0.9322 0.5858 0.2567 Nd
0.5000 0.5000 0.0000 Bi
0.0000 0.0000 0.5000 As
0.1669 0.8331 0.0000 As
0.3364 0.6636 0.5000 As
0.6636 0.3364 0.5000 As
0.8331 0.1669 0.0000 As
```

---

> What is the M_tot in the third record?

0.000 μB/atom